Computed, not measured: a relaxed YCo crystal at the PBE level of DFT.

## Properties
Formation energy, kJ/mol of formula units: 9
Calculated density, Mg/m³: 6.08
M_tot, μB per atom: 0.09

a = 6.9450 Å, b = 6.3398 Å, c = 5.5907 Å
α = 70.88°, β = 59.60°, γ = 49.52°
Last column: nearest neighbours and their distance in Å.
Element x y z (fractional)
Y: 0.0794 0.6706 0.0794  6 Co 2.76-2.90
Y: 0.3294 0.9206 0.3294  6 Co 2.76-2.90
Y: 0.6706 0.0794 0.6706  6 Co 2.76-2.90
Y: 0.9206 0.3294 0.9206  6 Co 2.76-2.90
Co: 0.2073 0.5427 0.5427  1 Co 2.29
Co: 0.4573 0.7927 0.7927  1 Co 2.29
Co: 0.5427 0.2073 0.2073  1 Co 2.29
Co: 0.7927 0.4573 0.4573  1 Co 2.29

---

Computed, not measured: a relaxed YCo crystal at the PBE level of DFT.

## Properties
Formation energy, kJ/mol of formula units: 183
Calculated density, Mg/m³: 4.71
M_tot, μB per atom: 0.04

a = 5.9311 Å, b = 5.9311 Å, c = 5.9311 Å
α = 90.00°, β = 90.00°, γ = 90.00°
Last column: nearest neighbours and their distance in Å.
Element x y z (fractional)
Y: 0.0000 0.0000 0.0000  4 Co 2.57
Y: 0.0000 0.5000 0.5000  4 Co 2.57
Y: 0.5000 0.0000 0.5000  4 Co 2.57
Y: 0.5000 0.5000 0.0000  4 Co 2.57
Co: 0.2500 0.2500 0.7500  4 Y 2.57
Co: 0.2500 0.7500 0.2500  4 Y 2.57
Co: 0.7500 0.2500 0.2500  4 Y 2.57
Co: 0.7500 0.7500 0.7500  4 Y 2.57

---

Computed, not measured: a relaxed YCo3 crystal at the PBE level of DFT.

## Properties
Formation energy, kJ/mol of formula units: 175
Calculated density, Mg/m³: 7.00
M_tot, μB per atom: 0.96

a = 7.0395 Å, b = 8.3447 Å, c = 4.2944 Å
α = 90.00°, β = 90.00°, γ = 90.00°
Last column: nearest neighbours and their distance in Å.
Element x y z (fractional)
Y: 0.0000 0.1136 0.2500  7 Co 2.54-2.81
Y: 0.0000 0.8864 0.7500  7 Co 2.54-2.81
Y: 0.5000 0.3864 0.7500  7 Co 2.54-2.81
Y: 0.5000 0.6136 0.2500  7 Co 2.54-2.81
Co: 0.0000 0.4421 0.2500  4 Co 2.35-2.56
Co: 0.0000 0.5579 0.7500  4 Co 2.35-2.56
Co: 0.1600 0.2827 0.7500  1 Co 2.25
Co: 0.1600 0.7173 0.2500  1 Co 2.25
Co: 0.3400 0.2173 0.2500  1 Co 2.25
Co: 0.3400 0.7827 0.7500  1 Co 2.25
Co: 0.5000 0.0579 0.7500  4 Co 2.35-2.56
Co: 0.5000 0.9421 0.2500  4 Co 2.35-2.56
Co: 0.6600 0.2173 0.2500  1 Co 2.25
Co: 0.6600 0.7827 0.7500  1 Co 2.25
Co: 0.8400 0.2827 0.7500  1 Co 2.25
Co: 0.8400 0.7173 0.2500  1 Co 2.25

---

Computed, not measured: a relaxed YCo crystal at the PBE level of DFT.

## Properties
Formation energy, kJ/mol of formula units: -17
Calculated density, Mg/m³: 5.77
M_tot, μB per atom: 0.24

a = 3.8670 Å, b = 16.7105 Å, c = 3.9517 Å
α = 90.00°, β = 90.00°, γ = 90.00°
Last column: nearest neighbours and their distance in Å.
Element x y z (fractional)
Y: 0.0000 0.0000 0.0000  4 Co 2.76
Y: 0.0000 0.3429 0.5000  3 Co 2.63-2.88
Y: 0.0000 0.6571 0.5000  3 Co 2.63-2.88
Y: 0.5000 0.1571 0.5000  3 Co 2.63-2.88
Y: 0.5000 0.5000 0.0000  4 Co 2.76
Y: 0.5000 0.8429 0.5000  3 Co 2.63-2.88
Co: 0.0000 0.2179 0.0000  2 Co 2.21
Co: 0.0000 0.5000 0.5000  6 Y 2.63-2.76
Co: 0.0000 0.7821 0.0000  2 Co 2.21
Co: 0.5000 0.0000 0.5000  6 Y 2.63-2.76
Co: 0.5000 0.2821 0.0000  2 Co 2.21
Co: 0.5000 0.7179 0.0000  2 Co 2.21

---

Computed, not measured: a relaxed YCo2 crystal at the PBE level of DFT.

## Properties
Formation energy, kJ/mol of formula units: 27
Calculated density, Mg/m³: 6.88
M_tot, μB per atom: 0.95

a = 3.1625 Å, b = 3.2041 Å, c = 9.8560 Å
α = 90.00°, β = 90.00°, γ = 90.00°
Last column: nearest neighbours and their distance in Å.
Element x y z (fractional)
Y: 0.0000 0.0000 0.0000  10 Co 2.92-3.02, 4 Y 3.16-3.20
Y: 0.5000 0.5000 0.5000  10 Co 2.92-3.02, 4 Y 3.16-3.20
Co: 0.0000 0.0000 0.2961  4 Co 2.43
Co: 0.0000 0.0000 0.7039  4 Co 2.43
Co: 0.5000 0.5000 0.2039  4 Co 2.43
Co: 0.5000 0.5000 0.7961  4 Co 2.43

---

Computed, not measured: a relaxed YCo2 crystal at the PBE level of DFT.

## Properties
Formation energy, kJ/mol of formula units: 284
Calculated density, Mg/m³: 5.67
M_tot, μB per atom: 0.75

a = 6.2337 Å, b = 6.2337 Å, c = 6.2337 Å
α = 90.00°, β = 90.00°, γ = 90.00°
Last column: nearest neighbours and their distance in Å.
Element x y z (fractional)
Y: 0.0000 0.0000 0.0000  6 Co 2.65
Y: 0.0000 0.5000 0.5000  6 Co 2.65
Y: 0.5000 0.0000 0.5000  6 Co 2.65
Y: 0.5000 0.5000 0.0000  6 Co 2.65
Co: 0.0997 0.5997 0.9003  1 Co 2.15
Co: 0.0997 0.9003 0.4003  1 Co 2.15
Co: 0.4003 0.0997 0.9003  1 Co 2.15
Co: 0.4003 0.4003 0.4003  1 Co 2.15
Co: 0.5997 0.5997 0.5997  1 Co 2.15
Co: 0.5997 0.9003 0.0997  1 Co 2.15
Co: 0.9003 0.0997 0.5997  1 Co 2.15
Co: 0.9003 0.4003 0.0997  1 Co 2.15

---

Computed, not measured: a relaxed Y3Co5 crystal at the PBE level of DFT.

## Properties
ΔE to the lowest computed polymorph, eV per atom: 0.023
Formation energy, kJ/mol of formula units: 89
Calculated density, Mg/m³: 6.92
M_tot, μB per atom: 0.56

a = 6.5619 Å, b = 9.0855 Å, c = 4.5203 Å
α = 90.00°, β = 90.00°, γ = 90.00°
Last column: nearest neighbours and their distance in Å.
Element x y z (fractional)
Y: 0.0000 0.0000 0.0000  8 Co 2.80
Y: 0.0000 0.2696 0.5000  8 Co 2.65-2.96
Y: 0.0000 0.7304 0.5000  8 Co 2.65-2.96
Y: 0.5000 0.2304 0.5000  8 Co 2.65-2.96
Y: 0.5000 0.5000 0.0000  8 Co 2.80
Y: 0.5000 0.7696 0.5000  8 Co 2.65-2.96
Co: 0.0000 0.5000 0.0000  8 Co 2.78-2.80, 4 Y 3.08
Co: 0.2477 0.5000 0.5000  6 Y 2.65-2.96, 2 Co 2.78
Co: 0.2500 0.2500 0.0000  6 Y 2.80, 2 Co 2.80
Co: 0.2500 0.7500 0.0000  6 Y 2.80, 2 Co 2.80
Co: 0.2523 0.0000 0.5000  6 Y 2.65-2.96, 2 Co 2.78
Co: 0.5000 0.0000 0.0000  8 Co 2.78-2.80, 4 Y 3.08
Co: 0.7477 0.0000 0.5000  6 Y 2.65-2.96, 2 Co 2.78
Co: 0.7500 0.2500 0.0000  6 Y 2.80, 2 Co 2.80
Co: 0.7500 0.7500 0.0000  6 Y 2.80, 2 Co 2.80
Co: 0.7523 0.5000 0.5000  6 Y 2.65-2.96, 2 Co 2.78

---

Computed, not measured: a relaxed YCo crystal at the PBE level of DFT.

## Properties
Formation energy, kJ/mol of formula units: 19
Calculated density, Mg/m³: 5.97
M_tot, μB per atom: 0.71

a = 3.2492 Å, b = 3.2492 Å, c = 7.7921 Å
α = 90.00°, β = 90.00°, γ = 90.00°
Last column: nearest neighbours and their distance in Å.
Element x y z (fractional)
Y: 0.2500 0.2500 0.1971  5 Co 2.84-2.97
Y: 0.7500 0.7500 0.8029  5 Co 2.84-2.97
Co: 0.2500 0.2500 0.5610  4 Co 2.49
Co: 0.7500 0.7500 0.4390  4 Co 2.49

---

Computed, not measured: a relaxed YCo2 crystal at the PBE level of DFT.

## Properties
Formation energy, kJ/mol of formula units: -51
Calculated density, Mg/m³: 7.38
M_tot, μB per atom: 0.65

a = 5.0861 Å, b = 5.0861 Å, c = 5.0861 Å
α = 60.00°, β = 60.00°, γ = 60.00°
Last column: nearest neighbours and their distance in Å.
Element x y z (fractional)
Y: 0.1250 0.1250 0.1250  12 Co 2.98, 4 Y 3.11
Y: 0.8750 0.8750 0.8750  12 Co 2.98, 4 Y 3.11
Co: 0.0000 0.5000 0.5000  6 Co 2.54
Co: 0.5000 0.0000 0.5000  6 Co 2.54
Co: 0.5000 0.5000 0.0000  6 Co 2.54
Co: 0.5000 0.5000 0.5000  6 Co 2.54

---

Computed, not measured: a relaxed YCo3 crystal at the PBE level of DFT.

## Properties
Formation energy, kJ/mol of formula units: -35
Calculated density, Mg/m³: 6.81
M_tot, μB per atom: 0.91

a = 4.0167 Å, b = 6.0707 Å, c = 5.3130 Å
α = 90.00°, β = 90.00°, γ = 90.00°
Last column: nearest neighbours and their distance in Å.
Element x y z (fractional)
Y: 0.2500 0.2500 0.1201  10 Co 2.84-3.13
Y: 0.7500 0.7500 0.8799  10 Co 2.84-3.13
Co: 0.2500 0.0542 0.6057  6 Co 2.35-2.39
Co: 0.2500 0.4458 0.6057  6 Co 2.35-2.39
Co: 0.2500 0.7500 0.3310  6 Co 2.35-2.36
Co: 0.7500 0.2500 0.6690  6 Co 2.35-2.36
Co: 0.7500 0.5542 0.3943  6 Co 2.35-2.39
Co: 0.7500 0.9458 0.3943  6 Co 2.35-2.39

---

Computed, not measured: a relaxed YCo crystal at the PBE level of DFT.

## Properties
Formation energy, kJ/mol of formula units: -38
Calculated density, Mg/m³: 5.44
M_tot, μB per atom: 0.12

a = 3.8979 Å, b = 3.8979 Å, c = 20.5718 Å
α = 90.00°, β = 90.00°, γ = 120.00°
Last column: nearest neighbours and their distance in Å.
Element x y z (fractional)
Y: 0.0000 0.0000 0.0881  6 Co 2.88-2.90
Y: 0.0000 0.0000 0.9119  6 Co 2.88-2.90
Y: 0.3333 0.6667 0.5786  6 Co 2.88-2.90
Y: 0.3333 0.6667 0.7548  6 Co 2.88-2.90
Y: 0.6667 0.3333 0.2452  6 Co 2.88-2.90
Y: 0.6667 0.3333 0.4214  6 Co 2.88-2.90
Co: 0.0000 0.0000 0.3326  3 Co 2.25
Co: 0.0000 0.0000 0.6674  3 Co 2.25
Co: 0.3333 0.6667 0.3341  3 Co 2.25
Co: 0.3333 0.6667 0.9992  3 Co 2.25
Co: 0.6667 0.3333 0.0008  3 Co 2.25
Co: 0.6667 0.3333 0.6659  3 Co 2.25

---

Computed, not measured: a relaxed YCo3 crystal at the PBE level of DFT.

## Properties
Formation energy, kJ/mol of formula units: 112
Calculated density, Mg/m³: 7.23
M_tot, μB per atom: 1.06

a = 4.9593 Å, b = 4.9593 Å, c = 4.9593 Å
α = 90.00°, β = 90.00°, γ = 90.00°
Last column: nearest neighbours and their distance in Å.
Element x y z (fractional)
Y: 0.0000 0.0000 0.0000  12 Co 2.77
Y: 0.5000 0.5000 0.5000  12 Co 2.77
Co: 0.0000 0.2500 0.5000  2 Co 2.48, 4 Y 2.77
Co: 0.0000 0.7500 0.5000  2 Co 2.48, 4 Y 2.77
Co: 0.2500 0.5000 0.0000  2 Co 2.48, 4 Y 2.77
Co: 0.5000 0.0000 0.2500  2 Co 2.48, 4 Y 2.77
Co: 0.5000 0.0000 0.7500  2 Co 2.48, 4 Y 2.77
Co: 0.7500 0.5000 0.0000  2 Co 2.48, 4 Y 2.77

---

Computed, not measured: a relaxed YCo crystal at the PBE level of DFT.

## Properties
Formation energy, kJ/mol of formula units: 51
Calculated density, Mg/m³: 5.96
M_tot, μB per atom: 0.38

a = 3.4641 Å, b = 3.4641 Å, c = 7.9223 Å
α = 90.00°, β = 90.00°, γ = 120.00°
Last column: nearest neighbours and their distance in Å.
Element x y z (fractional)
Y: 0.0000 0.0000 0.0000  6 Co 2.81
Y: 0.0000 0.0000 0.5000  6 Co 2.81
Co: 0.3333 0.6667 0.2500  6 Y 2.81
Co: 0.6667 0.3333 0.7500  6 Y 2.81

---

Computed, not measured: a relaxed YCo3 crystal at the PBE level of DFT.

## Properties
Formation energy, kJ/mol of formula units: -65
Calculated density, Mg/m³: 7.55
M_tot, μB per atom: 0.88

a = 8.6381 Å, b = 8.6381 Å, c = 8.6381 Å
α = 33.54°, β = 33.54°, γ = 33.54°
Last column: nearest neighbours and their distance in Å.
Element x y z (fractional)
Y: 0.0000 0.0000 0.0000  18 Co 2.88-3.18
Y: 0.1397 0.1397 0.1397  12 Co 2.88-3.10, 3 Y 3.16
Y: 0.8603 0.8603 0.8603  12 Co 2.88-3.10, 3 Y 3.16
Co: 0.0789 0.5819 0.5819  7 Co 2.43-2.55
Co: 0.3346 0.3346 0.3346  6 Co 2.43-2.47
Co: 0.4181 0.4181 0.9211  7 Co 2.43-2.55
Co: 0.4181 0.9211 0.4181  7 Co 2.43-2.55
Co: 0.5000 0.5000 0.5000  6 Co 2.55
Co: 0.5819 0.0789 0.5819  7 Co 2.43-2.55
Co: 0.5819 0.5819 0.0789  7 Co 2.43-2.55
Co: 0.6654 0.6654 0.6654  6 Co 2.43-2.47
Co: 0.9211 0.4181 0.4181  7 Co 2.43-2.55

---

Computed, not measured: a relaxed YCo3 crystal at the PBE level of DFT.

## Properties
Formation energy, kJ/mol of formula units: 81
Calculated density, Mg/m³: 7.21
M_tot, μB per atom: 1.04

a = 2.9530 Å, b = 3.8900 Å, c = 5.5078 Å
α = 90.00°, β = 104.78°, γ = 90.00°
Last column: nearest neighbours and their distance in Å.
Element x y z (fractional)
Y: 0.0000 0.0000 0.0000  10 Co 2.75-3.01, 2 Y 2.95
Co: 0.0000 0.0000 0.5000  4 Co 2.36
Co: 0.3890 0.5000 0.6890  3 Co 2.34-2.36
Co: 0.6110 0.5000 0.3110  3 Co 2.34-2.36

---

Computed, not measured: a relaxed YCo2 crystal at the PBE level of DFT.

## Properties
Formation energy, kJ/mol of formula units: 62
Calculated density, Mg/m³: 6.42
M_tot, μB per atom: 0.79

a = 3.4931 Å, b = 16.3748 Å, c = 3.7399 Å
α = 90.00°, β = 90.00°, γ = 90.00°
Last column: nearest neighbours and their distance in Å.
Element x y z (fractional)
Y: 0.0000 0.1096 0.2500  10 Co 2.83-2.95
Y: 0.0000 0.8904 0.7500  10 Co 2.83-2.95
Y: 0.5000 0.3904 0.7500  10 Co 2.83-2.95
Y: 0.5000 0.6096 0.2500  10 Co 2.83-2.95
Co: 0.0000 0.2481 0.7500  4 Co 2.56
Co: 0.0000 0.4645 0.2500  2 Co 2.20
Co: 0.0000 0.5355 0.7500  2 Co 2.20
Co: 0.0000 0.7519 0.2500  4 Co 2.56
Co: 0.5000 0.0355 0.7500  2 Co 2.20
Co: 0.5000 0.2519 0.2500  4 Co 2.56
Co: 0.5000 0.7481 0.7500  4 Co 2.56
Co: 0.5000 0.9645 0.2500  2 Co 2.20

---

Computed, not measured: a relaxed YCo3 crystal at the PBE level of DFT.

## Properties
Formation energy, kJ/mol of formula units: -34
Calculated density, Mg/m³: 6.68
M_tot, μB per atom: 0.94

a = 4.0104 Å, b = 4.0104 Å, c = 14.2314 Å
α = 90.00°, β = 90.00°, γ = 120.00°
Last column: nearest neighbours and their distance in Å.
Element x y z (fractional)
Y: 0.0000 0.0000 0.0000  2 Co 2.73
Y: 0.3333 0.6667 0.6667  2 Co 2.73
Y: 0.6667 0.3333 0.3333  2 Co 2.73
Co: 0.0000 0.0000 0.1921  6 Co 2.34-2.43
Co: 0.0000 0.0000 0.5000  6 Co 2.34
Co: 0.0000 0.0000 0.8079  6 Co 2.34-2.43
Co: 0.3333 0.6667 0.1667  6 Co 2.34
Co: 0.3333 0.6667 0.4746  6 Co 2.34-2.43
Co: 0.3333 0.6667 0.8587  6 Co 2.34-2.43
Co: 0.6667 0.3333 0.1413  6 Co 2.34-2.43
Co: 0.6667 0.3333 0.5254  6 Co 2.34-2.43
Co: 0.6667 0.3333 0.8333  6 Co 2.34

---

Computed, not measured: a relaxed YCo3 crystal at the PBE level of DFT.

## Properties
Formation energy, kJ/mol of formula units: 57
Calculated density, Mg/m³: 7.37
M_tot, μB per atom: 1.10

a = 3.0719 Å, b = 3.0719 Å, c = 6.3457 Å
α = 90.00°, β = 90.00°, γ = 90.00°
Last column: nearest neighbours and their distance in Å.
Element x y z (fractional)
Y: 0.0000 0.0000 0.0000  10 Co 2.93-3.17, 4 Y 3.07
Co: 0.0000 0.0000 0.5000  8 Co 2.48
Co: 0.5000 0.5000 0.3101  5 Co 2.41-2.48
Co: 0.5000 0.5000 0.6899  5 Co 2.41-2.48

---

Computed, not measured: a relaxed YCo3 crystal at the PBE level of DFT.

## Properties
Formation energy, kJ/mol of formula units: -31
Calculated density, Mg/m³: 7.27
M_tot, μB per atom: 0.92

a = 7.0758 Å, b = 6.5498 Å, c = 5.2392 Å
α = 90.00°, β = 90.00°, γ = 90.00°
Last column: nearest neighbours and their distance in Å.
Element x y z (fractional)
Y: 0.0305 0.2500 0.1246  9 Co 2.73-2.97
Y: 0.4695 0.7500 0.6246  9 Co 2.73-2.97
Y: 0.5305 0.2500 0.3754  9 Co 2.73-2.97
Y: 0.9695 0.7500 0.8754  9 Co 2.73-2.97
Co: 0.1233 0.7500 0.3528  6 Co 2.39-2.40
Co: 0.1639 0.0599 0.5905  5 Co 2.39-2.63
Co: 0.1639 0.4401 0.5905  5 Co 2.39-2.63
Co: 0.3361 0.5599 0.0905  5 Co 2.39-2.63
Co: 0.3361 0.9401 0.0905  5 Co 2.39-2.63
Co: 0.3767 0.2500 0.8528  6 Co 2.39-2.40
Co: 0.6233 0.7500 0.1472  6 Co 2.39-2.40
Co: 0.6639 0.0599 0.9095  5 Co 2.39-2.63
Co: 0.6639 0.4401 0.9095  5 Co 2.39-2.63
Co: 0.8361 0.5599 0.4095  5 Co 2.39-2.63
Co: 0.8361 0.9401 0.4095  5 Co 2.39-2.63
Co: 0.8767 0.2500 0.6472  6 Co 2.39-2.40

---

Computed, not measured: a relaxed YCo crystal at the PBE level of DFT.

## Properties
Formation energy, kJ/mol of formula units: -29
Calculated density, Mg/m³: 5.93
M_tot, μB per atom: 0.27

a = 4.5692 Å, b = 4.5692 Å, c = 4.5764 Å
α = 90.00°, β = 90.00°, γ = 120.00°
Last column: nearest neighbours and their distance in Å.
Element x y z (fractional)
Y: 0.3333 0.6667 0.2500  6 Co 2.88
Y: 0.6667 0.3333 0.7500  6 Co 2.88
Co: 0.0000 0.0000 0.0000  2 Co 2.29
Co: 0.0000 0.0000 0.5000  2 Co 2.29